# NdInPd

An optimized crystal structure of NdInPd (PBE-GGA, Alexandria).

Calculated values
- DOS at the Fermi energy: 1.560 states/eV per atom
- E_form: -0.61 eV per atom

abc: 4.822 4.822 4.822
angles: 60.00 60.00 60.00
Sites, in units of the cell vectors:
Nd (0.000, 0.000, 0.000)
In (0.500, 0.500, 0.500)
Pd (0.750, 0.750, 0.750)